1.
First-principles (PBE-GGA) data for a geometry-optimized RbHf2I8 structure, as listed in the Alexandria database.

Structure (POSCAR):
```
RbHf2I8
1.0
10.727 0.000 0.000
-5.364 9.290 0.000
0.000 0.000 5.767
Rb Hf I
1 2 8
direct
0.000 0.000 0.000
0.333 0.667 0.257
0.667 0.333 0.743
0.184 0.371 0.266
0.187 0.816 0.266
0.333 0.667 0.761
0.371 0.187 0.734
0.629 0.813 0.266
0.667 0.333 0.239
0.813 0.184 0.734
0.816 0.629 0.734
```

M_tot: 1.04 μB/f.u.
ΔE_f (raw): -0.815 eV per atom
SG: No. 147
Crystal system: trigonal
Electronic total energy: -3.8403 eV per atom


2.
First-principles (PBE-GGA) data for a geometry-optimized TcHgPb4 structure, as listed in the Alexandria database.

Structure (POSCAR):
```
TcHgPb4
1.0
0.000 4.504 4.504
4.504 0.000 4.504
4.504 4.504 0.000
Tc Hg Pb
1 1 4
direct
0.000 0.000 0.000
0.750 0.750 0.750
0.374 0.374 0.374
0.374 0.374 0.877
0.374 0.877 0.374
0.877 0.374 0.374
```

M_tot: 3.67 μB/f.u.
SG: No. 216
Crystal system: cubic
Energy of formation: 812 meV per atom
Electronic total energy: -3.4385 eV per atom


3.
First-principles (PBE-GGA) data for a geometry-optimized Rh4S structure, as listed in the Alexandria database.

Structure (POSCAR):
```
Rh4S
1.0
4.334 0.000 0.000
0.000 4.334 0.000
0.000 0.000 4.334
Rh S
4 1
direct
0.000 0.000 0.000
0.000 0.500 0.500
0.500 0.000 0.500
0.500 0.500 0.000
0.500 0.500 0.500
```

M_tot: 1.91 μB/f.u.
ΔE_f (raw): 0.441 eV per atom
SG: No. 221
Crystal system: cubic
Electronic total energy: -6.2652 eV per atom


What is the formula in the second record?
TcHgPb4


Look up the electronic total energy of the second one.
-3.4385 eV per atom


What is the electronic total energy in the first record?
-3.8403 eV per atom


Which of these has the lowest electronic total energy?
Rh4S